Entry from the Alexandria database: a geometry-optimized Fe3RuO structure (PBE+U).

Structure (extended XYZ):
```
5
Lattice="4.7006 0.0000 0.0000 0.0000 4.7006 0.0000 0.0000 0.0000 4.7006" Properties=species:S:1:pos:R:3 pbc="T T T"
Fe 0.0000 0.0000 2.3503
Fe 0.0000 2.3503 0.0000
Fe 2.3503 0.0000 0.0000
Ru 0.0000 0.0000 0.0000
O 2.3503 2.3503 2.3503
```

Results
**DOS at the Fermi energy**: 0.737 states/eV per atom
**Offset from the most stable computed form**: 774 kJ/mol of formula units
**Volume**: 103.86 Å³ per cell
**Magnetic moment**: 2.4068 μB/atom